Record 1
Crystalline TaBe2Pb at its relaxed geometry, computed with GGA-PBEsol.

DOS(E_F) = 1.976 states/eV per cell
E = -5.620 eV/atom
Magnetization = 0.00 μB per formula unit
Volume = 66.50 Å³ per cell
Formation enthalpy at 0 K = 0.517 eV/atom
Space-group type = Cmmm, No. 65

Lattice parameters (Å, degrees): 2.9437 2.9437 7.6741 90.00 90.00 90.58
Element x y z (fractional)
Pb1 0.5000 0.5000 0.5000
Be1 0.0000 0.0000 0.7981
Be2 0.0000 0.0000 0.2019
Ta1 0.5000 0.5000 0.0000

***

Record 2
Crystalline Ta2BePb at its relaxed geometry, computed with GGA-PBEsol.

DOS(E_F) = 1.740 states/eV per cell
E = -7.805 eV/atom
Magnetization = 0.00 μB per formula unit
Volume = 67.88 Å³ per cell
E above lowest polymorph = 0.088 eV/atom
Formation enthalpy at 0 K = 0.470 eV/atom
Space-group type = Imm2, No. 44

Lattice parameters (Å, degrees): 3.5494 4.4457 5.1570 115.53 110.13 90.00
Element x y z (fractional)
Be1 0.4990 0.4990 0.9980
Pb1 0.2285 0.7285 0.4569
Ta1 0.7714 0.2714 0.5428
Ta2 0.0011 0.0011 0.0022

***

Record 3
Crystalline Ta2BePb at its relaxed geometry, computed with GGA-PBEsol.

DOS(E_F) = 2.127 states/eV per cell
E = -7.893 eV/atom
Magnetization = 0.00 μB per formula unit
Volume = 68.07 Å³ per cell
E above lowest polymorph = 0.000 eV/atom
Formation enthalpy at 0 K = 0.382 eV/atom
Space-group type = P4/mmm, No. 123

Lattice parameters (Å, degrees): 2.9519 2.9519 7.8122 90.00 90.00 90.00
Element x y z (fractional)
Be1 0.5000 0.5000 0.0000
Ta1 0.0000 0.0000 0.1960
Ta2 0.0000 0.0000 0.8040
Pb1 0.5000 0.5000 0.5000

***

Record 4
Crystalline Be3TcPb at its relaxed geometry, computed with GGA-PBEsol.

DOS(E_F) = 2.016 states/eV per cell
E = -4.634 eV/atom
Magnetization = 0.00 μB per formula unit
Volume = 79.72 Å³ per cell
Formation enthalpy at 0 K = 0.819 eV/atom
Space-group type = Pm-3m, No. 221

Lattice parameters (Å, degrees): 4.3039 4.3039 4.3039 90.00 90.00 90.00
Element x y z (fractional)
Tc1 0.0000 0.0000 0.0000
Pb1 0.5000 0.5000 0.5000
Be1 0.0000 0.5000 0.0000
Be2 0.0000 0.0000 0.5000
Be3 0.5000 0.0000 0.0000

***

Record 5
Crystalline BeTc2Pb at its relaxed geometry, computed with GGA-PBEsol.

DOS(E_F) = 3.994 states/eV per cell
E = -6.918 eV/atom
Magnetization = 0.00 μB per formula unit
Volume = 60.64 Å³ per cell
E above lowest polymorph = 0.303 eV/atom
Formation enthalpy at 0 K = 0.715 eV/atom
Space-group type = Pmmm, No. 47

Lattice parameters (Å, degrees): 3.1468 4.3339 4.4466 90.00 90.00 90.00
Element x y z (fractional)
Be1 0.5000 0.5000 0.0000
Tc1 0.5000 0.0000 0.5000
Tc2 0.0000 0.0000 0.0000
Pb1 0.0000 0.5000 0.5000

***

Record 6
Crystalline BeTcPb at its relaxed geometry, computed with GGA-PBEsol.

DOS(E_F) = 1.746 states/eV per cell
E = -5.901 eV/atom
Magnetization = 0.00 μB per formula unit
Volume = 46.97 Å³ per cell
Formation enthalpy at 0 K = 0.521 eV/atom
Space-group type = P-6m2, No. 187

Lattice parameters (Å, degrees): 3.4001 3.9939 3.9939 120.00 90.00 90.00
Element x y z (fractional)
Be1 0.5000 0.0000 0.0000
Tc1 0.5000 0.3333 0.6667
Pb1 0.0000 0.6667 0.3333

***

Record 7
Crystalline BeTc2Pb at its relaxed geometry, computed with GGA-PBEsol.

DOS(E_F) = 3.231 states/eV per cell
E = -7.021 eV/atom
Magnetization = 0.00 μB per formula unit
Volume = 59.61 Å³ per cell
E above lowest polymorph = 0.200 eV/atom
Formation enthalpy at 0 K = 0.612 eV/atom
Space-group type = I-4m2, No. 119

Lattice parameters (Å, degrees): 4.0582 4.6192 4.0582 116.06 90.00 116.06
Element x y z (fractional)
Tc1 0.7500 0.5000 0.2500
Tc2 0.0000 0.0000 0.0000
Pb1 0.2500 0.5000 0.7500
Be1 0.5000 0.0000 0.5000

***

Record 8
Crystalline BeTc2Pb at its relaxed geometry, computed with GGA-PBEsol.

DOS(E_F) = 5.686 states/eV per cell
E = -6.899 eV/atom
Magnetization = 0.17 μB per formula unit
Volume = 59.84 Å³ per cell
E above lowest polymorph = 0.323 eV/atom
Formation enthalpy at 0 K = 0.734 eV/atom
Space-group type = P4/mmm, No. 123

Lattice parameters (Å, degrees): 3.3015 4.2575 4.2575 90.00 90.00 90.00
Element x y z (fractional)
Tc1 0.0000 0.0000 0.5000
Tc2 0.0000 0.5000 0.0000
Be1 0.5000 0.5000 0.5000
Pb1 0.5000 0.0000 0.0000

***

Record 9
Crystalline BeTcPb2 at its relaxed geometry, computed with GGA-PBEsol.

DOS(E_F) = 1.853 states/eV per cell
E = -5.408 eV/atom
Magnetization = 0.00 μB per formula unit
Volume = 74.45 Å³ per cell
Formation enthalpy at 0 K = 0.408 eV/atom
Space-group type = Amm2, No. 38

Lattice parameters (Å, degrees): 3.6367 4.0521 5.3692 90.00 109.80 90.00
Element x y z (fractional)
Pb1 0.9711 0.0000 0.9422
Pb2 0.2753 0.5000 0.5506
Tc1 0.6824 0.0000 0.3648
Be1 0.5625 0.5000 0.1250

***

Record 10
Crystalline BeTcPb2 at its relaxed geometry, computed with GGA-PBEsol.

DOS(E_F) = 2.268 states/eV per cell
E = -5.081 eV/atom
Magnetization = 0.00 μB per formula unit
Volume = 73.83 Å³ per cell
Formation enthalpy at 0 K = 0.735 eV/atom
Space-group type = P2/m, No. 10

Lattice parameters (Å, degrees): 3.4675 3.4955 6.1597 98.57 90.00 90.00
Element x y z (fractional)
Pb1 0.0000 0.9487 0.2469
Pb2 0.0000 0.0513 0.7531
Be1 0.5000 0.5000 0.0000
Tc1 0.5000 0.5000 0.5000

***

Record 11
Crystalline BeTcPb2 at its relaxed geometry, computed with GGA-PBEsol.

DOS(E_F) = 3.980 states/eV per cell
E = -4.937 eV/atom
Magnetization = 0.02 μB per formula unit
Volume = 74.32 Å³ per cell
Formation enthalpy at 0 K = 0.879 eV/atom
Space-group type = I4/mmm, No. 139

Lattice parameters (Å, degrees): 4.3656 4.9737 4.3656 63.97 90.00 116.03
Element x y z (fractional)
Pb1 0.2500 0.5000 0.2500
Pb2 0.7500 0.5000 0.7500
Be1 0.0000 0.0000 0.0000
Tc1 0.5000 0.0000 0.5000

***

Record 12
Crystalline BeTc2Pb at its relaxed geometry, computed with GGA-PBEsol.

DOS(E_F) = 2.336 states/eV per cell
E = -7.221 eV/atom
Magnetization = 0.00 μB per formula unit
Volume = 60.43 Å³ per cell
E above lowest polymorph = 0.000 eV/atom
Formation enthalpy at 0 K = 0.411 eV/atom
Space-group type = P4/mmm, No. 123

Lattice parameters (Å, degrees): 3.0158 3.0158 6.6446 90.00 90.00 90.00
Element x y z (fractional)
Tc1 0.0000 0.0000 0.8244
Tc2 0.0000 0.0000 0.1756
Be1 0.5000 0.5000 0.0000
Pb1 0.5000 0.5000 0.5000

***

Record 13
Crystalline BeTe2Pb at its relaxed geometry, computed with GGA-PBEsol.

DOS(E_F) = 1.522 states/eV per cell
E = -3.717 eV/atom
Magnetization = 0.00 μB per formula unit
Volume = 105.95 Å³ per cell
E above lowest polymorph = 0.123 eV/atom
Space-group type = P2/m, No. 10

Lattice parameters (Å, degrees): 3.6685 4.1946 7.1053 104.30 90.00 90.00
Element x y z (fractional)
Pb1 0.5000 0.5000 0.0000
Te1 0.0000 0.1112 0.2840
Te2 0.0000 0.8888 0.7160
Be1 0.5000 0.0000 0.5000

***

Record 14
Crystalline BeTe2Pb at its relaxed geometry, computed with GGA-PBEsol.

DOS(E_F) = 0.500 states/eV per cell
E = -3.840 eV/atom
Magnetization = 0.00 μB per formula unit
Volume = 101.11 Å³ per cell
E above lowest polymorph = 0.000 eV/atom
Space-group type = R-3m, No. 166

Lattice parameters (Å, degrees): 4.0407 4.0407 7.5214 74.42 74.42 60.00
Element x y z (fractional)
Te1 0.2312 0.2312 0.3065
Te2 0.7688 0.7688 0.6935
Pb1 0.0000 0.0000 0.0000
Be1 0.5000 0.5000 0.5000

***

Record 15
Crystalline Be2TePb at its relaxed geometry, computed with GGA-PBEsol.

DOS(E_F) = 1.397 states/eV per cell
E = -3.471 eV/atom
Magnetization = 0.00 μB per formula unit
Volume = 74.34 Å³ per cell
Space-group type = P4/mmm, No. 123

Lattice parameters (Å, degrees): 3.7303 3.7307 5.3419 90.02 90.00 90.00
Element x y z (fractional)
Pb1 0.5000 0.5000 0.0000
Be1 0.5000 0.5000 0.5000
Be2 0.0000 0.0000 0.0000
Te1 0.0000 0.0000 0.5000

***

Record 16
Crystalline TiBe3Pb at its relaxed geometry, computed with GGA-PBEsol.

DOS(E_F) = 2.303 states/eV per cell
E = -3.358 eV/atom
Magnetization = 0.00 μB per formula unit
Volume = 90.97 Å³ per cell
Formation enthalpy at 0 K = 1.507 eV/atom
Space-group type = Pm-3m, No. 221

Lattice parameters (Å, degrees): 4.4974 4.4974 4.4974 90.00 90.00 90.00
Element x y z (fractional)
Be1 0.0000 0.0000 0.5000
Be2 0.5000 0.0000 0.0000
Be3 0.0000 0.5000 0.0000
Ti1 0.5000 0.5000 0.5000
Pb1 0.0000 0.0000 0.0000

***

Record 17
Crystalline Ti3BePb at its relaxed geometry, computed with GGA-PBEsol.

DOS(E_F) = 4.225 states/eV per cell
E = -6.493 eV/atom
Magnetization = 0.00 μB per formula unit
Volume = 85.11 Å³ per cell
Formation enthalpy at 0 K = 0.100 eV/atom
Space-group type = Pm-3m, No. 221

Lattice parameters (Å, degrees): 4.3988 4.3988 4.3988 90.00 90.00 90.00
Element x y z (fractional)
Ti1 0.0000 0.5000 0.0000
Ti2 0.0000 0.0000 0.5000
Ti3 0.5000 0.0000 0.0000
Be1 0.0000 0.0000 0.0000
Pb1 0.5000 0.5000 0.5000

***

Record 18
Crystalline BeTlPb2 at its relaxed geometry, computed with GGA-PBEsol.

DOS(E_F) = 2.135 states/eV per cell
E = -3.323 eV/atom
Magnetization = 0.00 μB per formula unit
Volume = 98.39 Å³ per cell
Formation enthalpy at 0 K = 0.334 eV/atom
Space-group type = P4/mmm, No. 123

Lattice parameters (Å, degrees): 3.3464 3.3464 8.7861 90.00 90.00 90.00
Element x y z (fractional)
Pb1 0.0000 0.0000 0.3067
Pb2 0.0000 0.0000 0.6933
Be1 0.5000 0.5000 0.5000
Tl1 0.5000 0.5000 0.0000

***

Record 19
Crystalline BePbW2 at its relaxed geometry, computed with GGA-PBEsol.

DOS(E_F) = 2.211 states/eV per cell
E = -8.132 eV/atom
Magnetization = 0.00 μB per formula unit
Volume = 62.38 Å³ per cell
E above lowest polymorph = 0.000 eV/atom
Formation enthalpy at 0 K = 0.771 eV/atom
Space-group type = Immm, No. 71

Lattice parameters (Å, degrees): 3.2139 4.6186 5.0575 117.17 108.53 90.00
Element x y z (fractional)
Pb1 0.0000 0.5000 0.0000
W1 0.2112 0.2112 0.4223
W2 0.7888 0.7888 0.5777
Be1 0.5000 0.0000 0.0000

***

Record 20
Crystalline BePbW2 at its relaxed geometry, computed with GGA-PBEsol.

DOS(E_F) = 2.320 states/eV per cell
E = -8.051 eV/atom
Magnetization = 0.00 μB per formula unit
Volume = 66.37 Å³ per cell
E above lowest polymorph = 0.082 eV/atom
Formation enthalpy at 0 K = 0.853 eV/atom
Space-group type = P2/m, No. 10

Lattice parameters (Å, degrees): 2.8621 4.3869 5.3307 90.00 97.42 90.00
Element x y z (fractional)
W1 0.2222 0.0000 0.2144
W2 0.7778 0.0000 0.7856
Pb1 0.0000 0.5000 0.5000
Be1 0.5000 0.5000 0.0000